--- w ---
VASP calculation (PBE) on HgICl2 after structural relaxation.

a = 11.206 Å, b = 7.583 Å, c = 3.518 Å
α = 90.00°, β = 104.18°, γ = 90.00°
Positions (direct):
Hg 0.000 0.000 0.000
Hg 0.500 0.500 0.000
I 0.000 0.583 0.000
I 0.500 0.083 0.000
Cl 0.173 0.046 0.708
Cl 0.327 0.546 0.292
Cl 0.673 0.546 0.708
Cl 0.827 0.046 0.292

--- x ---
VASP calculation (PBE) on HgICl2 after structural relaxation.

a = 3.492 Å, b = 10.962 Å, c = 7.434 Å
α = 90.00°, β = 90.37°, γ = 90.00°
Positions (direct):
Hg 0.247 0.250 0.337
Hg 0.753 0.750 0.663
I 0.252 0.250 0.746
I 0.748 0.750 0.254
Cl 0.254 0.582 0.730
Cl 0.254 0.918 0.730
Cl 0.746 0.082 0.270
Cl 0.746 0.418 0.270

Stability check: which of them is most stable? w.

--- w ---
VASP calculation (PBE) on Hg2ICl3 after structural relaxation.

a = 11.241 Å, b = 11.241 Å, c = 10.052 Å
α = 94.60°, β = 94.60°, γ = 21.58°
Positions (direct):
Hg 0.075 0.075 0.431
Hg 0.316 0.316 0.900
Hg 0.684 0.684 0.100
Hg 0.925 0.925 0.569
I 0.338 0.338 0.554
I 0.662 0.662 0.446
Cl 0.029 0.029 0.676
Cl 0.254 0.254 0.152
Cl 0.422 0.422 0.942
Cl 0.578 0.578 0.058
Cl 0.746 0.746 0.848
Cl 0.971 0.971 0.324

--- x ---
VASP calculation (PBE) on Hg2ICl3 after structural relaxation.

a = 4.326 Å, b = 9.731 Å, c = 11.395 Å
α = 79.68°, β = 84.59°, γ = 78.40°
Positions (direct):
Hg 0.225 0.385 0.367
Hg 0.239 0.886 0.875
Hg 0.761 0.114 0.125
Hg 0.775 0.615 0.633
I 0.375 0.035 0.307
I 0.625 0.965 0.693
Cl 0.096 0.189 0.960
Cl 0.131 0.677 0.472
Cl 0.414 0.556 0.791
Cl 0.586 0.444 0.209
Cl 0.869 0.323 0.528
Cl 0.904 0.811 0.040

Stability check: which of them is most stable? x.

--- w ---
VASP calculation (PBE) on Hg2I3Cl after structural relaxation.

a = 8.837 Å, b = 8.837 Å, c = 14.551 Å
α = 118.96°, β = 118.96°, γ = 32.97°
Positions (direct):
Hg 0.237 0.237 0.370
Hg 0.256 0.256 0.873
Hg 0.744 0.744 0.127
Hg 0.763 0.763 0.630
I 0.123 0.123 0.918
I 0.125 0.125 0.447
I 0.388 0.388 0.824
I 0.612 0.612 0.176
I 0.875 0.875 0.553
I 0.877 0.877 0.082
Cl 0.337 0.337 0.298
Cl 0.663 0.663 0.702

--- x ---
VASP calculation (PBE) on Hg2I3Cl after structural relaxation.

a = 15.109 Å, b = 15.109 Å, c = 8.342 Å
α = 96.67°, β = 96.67°, γ = 17.23°
Positions (direct):
Hg 0.037 0.037 0.202
Hg 0.301 0.301 0.650
Hg 0.699 0.699 0.350
Hg 0.963 0.963 0.798
I 0.059 0.059 0.876
I 0.289 0.289 0.332
I 0.430 0.430 0.607
I 0.570 0.570 0.393
I 0.711 0.711 0.668
I 0.941 0.941 0.124
Cl 0.324 0.324 0.927
Cl 0.676 0.676 0.073

Stability check: which of them is most stable? w.

--- w ---
VASP calculation (PBE) on KHgICl2 after structural relaxation.

a = 5.391 Å, b = 5.391 Å, c = 5.948 Å
α = 90.00°, β = 90.00°, γ = 90.00°
Positions (direct):
K 0.000 0.000 0.000
Hg 0.500 0.500 0.500
I 0.500 0.500 0.000
Cl 0.000 0.500 0.500
Cl 0.500 0.000 0.500

--- x ---
VASP calculation (PBE) on KHgICl2 after structural relaxation.

a = 7.759 Å, b = 6.085 Å, c = 8.600 Å
α = 90.00°, β = 93.80°, γ = 90.00°
Positions (direct):
K 0.218 0.250 0.126
K 0.782 0.750 0.874
Hg 0.121 0.250 0.643
Hg 0.879 0.750 0.357
I 0.451 0.250 0.760
I 0.549 0.750 0.240
Cl 0.056 0.750 0.611
Cl 0.094 0.750 0.135
Cl 0.906 0.250 0.865
Cl 0.944 0.250 0.389

Stability check: which of them is most stable? x.

--- w ---
VASP calculation (PBE) on HgIN2Cl after structural relaxation.

a = 4.330 Å, b = 4.330 Å, c = 7.224 Å
α = 90.00°, β = 90.00°, γ = 90.00°
Positions (direct):
Hg 0.000 0.000 0.000
I 0.000 0.000 0.500
N 0.000 0.500 0.000
N 0.500 0.000 0.000
Cl 0.500 0.500 0.500

--- x ---
VASP calculation (PBE) on HgIN2Cl after structural relaxation.

a = 4.331 Å, b = 4.331 Å, c = 8.386 Å
α = 90.00°, β = 90.00°, γ = 90.00°
Positions (direct):
Hg 0.000 0.000 0.000
I 0.500 0.500 0.000
N 0.000 0.500 0.500
N 0.500 0.000 0.500
Cl 0.500 0.500 0.500

Stability check: which of them is most stable? w.

--- w ---
VASP calculation (PBE) on HgTeI2Cl after structural relaxation.

a = 5.829 Å, b = 5.829 Å, c = 5.913 Å
α = 90.00°, β = 90.00°, γ = 90.00°
Positions (direct):
Hg 0.000 0.000 0.000
Te 0.000 0.000 0.500
I 0.000 0.500 0.000
I 0.500 0.000 0.000
Cl 0.500 0.500 0.500

--- x ---
VASP calculation (PBE) on HgTeI2Cl after structural relaxation.

a = 5.792 Å, b = 5.792 Å, c = 5.487 Å
α = 90.00°, β = 90.00°, γ = 90.00°
Positions (direct):
Hg 0.000 0.000 0.000
Te 0.500 0.500 0.000
I 0.000 0.500 0.500
I 0.500 0.000 0.500
Cl 0.500 0.500 0.500

Stability check: which of them is most stable? w.

--- w ---
VASP calculation (PBE) on InHgCl2 after structural relaxation.

a = 7.473 Å, b = 7.488 Å, c = 3.746 Å
α = 90.00°, β = 90.00°, γ = 90.00°
Positions (direct):
In 0.000 0.000 0.000
In 0.500 0.500 0.000
Hg 0.000 0.500 0.000
Hg 0.500 0.000 0.000
Cl 0.250 0.250 0.500
Cl 0.250 0.750 0.500
Cl 0.750 0.250 0.500
Cl 0.750 0.750 0.500

--- x ---
VASP calculation (PBE) on InHgCl2 after structural relaxation.

a = 12.654 Å, b = 3.683 Å, c = 6.724 Å
α = 90.00°, β = 113.44°, γ = 90.00°
Positions (direct):
In 0.000 0.000 0.000
In 0.500 0.500 0.000
Hg 0.396 0.000 0.222
Hg 0.896 0.500 0.222
Cl 0.175 0.500 0.134
Cl 0.421 0.000 0.673
Cl 0.675 0.000 0.134
Cl 0.921 0.500 0.673

Stability check: which of them is most stable? x.

--- w ---
VASP calculation (PBE) on InHgCl2 after structural relaxation.

a = 5.865 Å, b = 3.938 Å, c = 6.639 Å
α = 90.00°, β = 115.93°, γ = 90.00°
Positions (direct):
In 0.000 0.000 0.000
Hg 0.500 0.000 0.000
Cl 0.154 0.500 0.307
Cl 0.846 0.500 0.693

--- x ---
VASP calculation (PBE) on InHgCl2 after structural relaxation.

a = 7.868 Å, b = 8.014 Å, c = 4.000 Å
α = 90.00°, β = 112.15°, γ = 90.00°
Positions (direct):
In 0.000 0.000 0.000
In 0.500 0.500 0.000
Hg 0.000 0.500 0.000
Hg 0.500 0.000 0.000
Cl 0.250 0.250 0.500
Cl 0.250 0.750 0.500
Cl 0.750 0.250 0.500
Cl 0.750 0.750 0.500

--- y ---
VASP calculation (PBE) on InHgCl2 after structural relaxation.

a = 4.406 Å, b = 4.406 Å, c = 6.194 Å
α = 90.00°, β = 90.00°, γ = 90.00°
Positions (direct):
In 0.000 0.000 0.000
Hg 0.500 0.500 0.499
Cl 0.000 0.000 0.499
Cl 0.500 0.500 0.999

--- z ---
VASP calculation (PBE) on InHgCl2 after structural relaxation.

a = 4.010 Å, b = 4.010 Å, c = 25.001 Å
α = 90.00°, β = 90.00°, γ = 120.00°
Positions (direct):
In 0.000 0.000 0.000
In 0.333 0.667 0.667
In 0.667 0.333 0.333
Hg 0.000 0.000 0.743
Hg 0.333 0.667 0.410
Hg 0.667 0.333 0.076
Cl 0.000 0.000 0.270
Cl 0.000 0.000 0.472
Cl 0.333 0.667 0.139
Cl 0.333 0.667 0.936
Cl 0.667 0.333 0.603
Cl 0.667 0.333 0.805

Stability check: which of them is most stable? w.

--- w ---
VASP calculation (PBE) on InHgCl2 after structural relaxation.

a = 5.415 Å, b = 4.125 Å, c = 5.906 Å
α = 90.00°, β = 117.21°, γ = 90.00°
Positions (direct):
In 0.000 0.000 0.000
Hg 0.799 0.500 0.604
Cl 0.173 0.500 0.350
Cl 0.550 0.000 0.103

--- x ---
VASP calculation (PBE) on InHgCl2 after structural relaxation.

a = 4.197 Å, b = 4.197 Å, c = 32.258 Å
α = 90.00°, β = 90.00°, γ = 120.00°
Positions (direct):
In 0.000 0.000 0.000
In 0.333 0.667 0.667
In 0.667 0.333 0.333
Hg 0.000 0.000 0.500
Hg 0.333 0.667 0.167
Hg 0.667 0.333 0.833
Cl 0.000 0.000 0.377
Cl 0.000 0.000 0.623
Cl 0.333 0.667 0.044
Cl 0.333 0.667 0.289
Cl 0.667 0.333 0.711
Cl 0.667 0.333 0.956

Stability check: which of them is most stable? w.

--- w ---
VASP calculation (PBE) on InHgCl2 after structural relaxation.

a = 4.212 Å, b = 4.212 Å, c = 28.599 Å
α = 90.00°, β = 90.00°, γ = 120.00°
Positions (direct):
In 0.000 0.000 0.000
In 0.333 0.667 0.667
In 0.667 0.333 0.333
Hg 0.000 0.000 0.832
Hg 0.333 0.667 0.499
Hg 0.667 0.333 0.166
Cl 0.000 0.000 0.383
Cl 0.000 0.000 0.617
Cl 0.333 0.667 0.049
Cl 0.333 0.667 0.284
Cl 0.667 0.333 0.716
Cl 0.667 0.333 0.951

--- x ---
VASP calculation (PBE) on InHgCl2 after structural relaxation.

a = 7.479 Å, b = 7.479 Å, c = 7.479 Å
α = 90.00°, β = 90.00°, γ = 90.00°
Positions (direct):
In 0.000 0.000 0.000
In 0.000 0.500 0.500
In 0.500 0.000 0.500
In 0.500 0.500 0.000
Hg 0.000 0.000 0.500
Hg 0.000 0.500 0.000
Hg 0.500 0.000 0.000
Hg 0.500 0.500 0.500
Cl 0.250 0.250 0.250
Cl 0.250 0.250 0.750
Cl 0.250 0.750 0.250
Cl 0.250 0.750 0.750
Cl 0.750 0.250 0.250
Cl 0.750 0.250 0.750
Cl 0.750 0.750 0.250
Cl 0.750 0.750 0.750

Stability check: which of them is most stable? w.

--- w ---
VASP calculation (PBE) on InHgCl2 after structural relaxation.

a = 7.514 Å, b = 4.085 Å, c = 9.715 Å
α = 90.00°, β = 102.80°, γ = 90.00°
Positions (direct):
In 0.000 0.000 0.000
In 0.500 0.500 0.000
Hg 0.000 0.500 0.500
Hg 0.500 0.000 0.500
Cl 0.220 0.500 0.148
Cl 0.280 0.000 0.852
Cl 0.720 0.000 0.148
Cl 0.780 0.500 0.852

--- x ---
VASP calculation (PBE) on InHgCl2 after structural relaxation.

a = 3.933 Å, b = 6.621 Å, c = 9.103 Å
α = 90.00°, β = 90.00°, γ = 90.00°
Positions (direct):
In 0.000 0.000 0.000
In 0.500 0.500 0.000
Hg 0.000 0.500 0.242
Hg 0.500 0.000 0.242
Cl 0.000 0.000 0.434
Cl 0.000 0.500 0.800
Cl 0.500 0.000 0.800
Cl 0.500 0.500 0.434

Stability check: which of them is most stable? w.

--- w ---
VASP calculation (PBE) on InHgCl2 after structural relaxation.

a = 3.622 Å, b = 7.458 Å, c = 20.334 Å
α = 90.00°, β = 90.00°, γ = 90.00°
Positions (direct):
In 0.250 0.000 0.136
In 0.250 0.500 0.364
In 0.750 0.000 0.864
In 0.750 0.500 0.636
Hg 0.249 0.250 0.250
Hg 0.251 0.750 0.250
Hg 0.749 0.250 0.750
Hg 0.751 0.750 0.750
Cl 0.249 0.224 0.910
Cl 0.249 0.276 0.590
Cl 0.251 0.724 0.590
Cl 0.251 0.776 0.910
Cl 0.749 0.224 0.090
Cl 0.749 0.276 0.410
Cl 0.751 0.724 0.410
Cl 0.751 0.776 0.090

--- x ---
VASP calculation (PBE) on InHgCl2 after structural relaxation.

a = 4.777 Å, b = 5.328 Å, c = 9.635 Å
α = 90.00°, β = 90.00°, γ = 90.00°
Positions (direct):
In 0.000 0.000 0.000
In 0.500 0.500 0.000
Hg 0.000 0.000 0.500
Hg 0.500 0.500 0.500
Cl 0.000 0.500 0.165
Cl 0.000 0.500 0.835
Cl 0.500 0.000 0.165
Cl 0.500 0.000 0.835

Stability check: which of them is most stable? w.